Here is a geometry-optimized ThMgTl structure from the Alexandria database. Energies are from PBE.

Output
DFT total energy in eV/atom: -3.899
Space group: P-6m2 (187)
Crystal system: hexagonal
Total moment in μB/cell: 0.000
D(E_F) in states/eV/cell: 2.06

Structure (POSCAR):
```
ThMgTl
1.0
-2.334 2.386 -1.616
-2.292 0.749 4.415
3.888 2.897 -1.339
Tl Mg Th
1 1 1
direct
0.166 0.000 0.000
0.167 0.667 0.333
0.667 0.333 0.667
```

=====

Here is a geometry-optimized Th5MgTl4 structure from the Alexandria database. Energies are from PBE.

Output
Relative energy among the computed polymorphs in meV per atom: 254
DFT total energy in eV/atom: -4.621
Space group: Pmmn (59)
Crystal system: orthorhombic
Total moment in μB/cell: 0.000
D(E_F) in states/eV/cell: 22.55

Structure (POSCAR):
```
Th5MgTl4
1.0
-8.463 3.477 4.035
-2.381 -6.427 0.546
3.688 -0.661 8.303
Th Mg Tl
10 2 8
direct
0.275 0.749 0.822
0.275 0.251 0.822
0.881 0.500 0.000
0.275 0.749 0.178
0.275 0.251 0.178
0.725 0.751 0.322
0.725 0.249 0.322
0.119 0.000 0.500
0.725 0.249 0.678
0.725 0.751 0.678
0.760 0.000 0.000
0.240 0.500 0.500
0.991 0.000 0.827
0.558 0.722 0.000
0.558 0.278 0.000
0.991 0.000 0.173
0.009 0.500 0.327
0.442 0.778 0.500
0.442 0.222 0.500
0.009 0.500 0.673
```

=====

Here is a geometry-optimized Th3Mg2Tl4 structure from the Alexandria database. Energies are from PBE.

Output
DFT total energy in eV/atom: -3.999
Space group: C2/m (12)
Crystal system: monoclinic
Total moment in μB/cell: 0.000
D(E_F) in states/eV/cell: 3.66

Structure (POSCAR):
```
Th3Mg2Tl4
1.0
-1.777 3.647 2.997
1.435 -5.325 3.086
7.436 5.496 -2.277
Th Mg Tl
3 2 4
direct
0.660 0.319 0.672
0.000 0.000 0.000
0.340 0.681 0.328
0.621 0.243 0.290
0.379 0.757 0.710
0.695 0.389 0.039
0.305 0.611 0.961
0.925 0.851 0.600
0.075 0.149 0.400
```

=====

Here is a geometry-optimized ThMg2Tl3 structure from the Alexandria database. Energies are from PBE.

Output
Relative energy among the computed polymorphs in meV per atom: 0
DFT total energy in eV/atom: -3.035
Space group: Cmmm (65)
Crystal system: orthorhombic
Total moment in μB/cell: 0.000
D(E_F) in states/eV/cell: 3.60

Structure (POSCAR):
```
ThMg2Tl3
1.0
-0.588 1.376 4.275
2.038 -4.051 1.584
5.517 5.258 -0.933
Th Mg Tl
1 2 3
direct
0.000 0.000 0.000
0.000 0.676 0.352
0.000 0.324 0.648
0.500 0.171 0.342
0.500 0.500 0.000
0.500 0.829 0.658
```

=====

Here is a geometry-optimized ThMgTl2 structure from the Alexandria database. Energies are from PBE.

Output
DFT total energy in eV/atom: -3.588
Space group: P4/mmm (123)
Crystal system: tetragonal
Total moment in μB/cell: 0.000
D(E_F) in states/eV/cell: 2.15

Structure (POSCAR):
```
ThMgTl2
1.0
-4.133 -1.480 1.341
2.112 -2.990 3.210
-0.162 3.507 3.373
Tl Mg Th
2 1 1
direct
0.000 0.000 0.500
0.000 0.500 0.000
0.500 0.000 0.000
0.500 0.500 0.500
```

=====

Here is a geometry-optimized Th2MgTl2 structure from the Alexandria database. Energies are from PBE.

Output
Relative energy among the computed polymorphs in meV per atom: 0
DFT total energy in eV/atom: -4.358
Space group: P4/mbm (127)
Crystal system: tetragonal
Total moment in μB/cell: 0.000
D(E_F) in states/eV/cell: 6.73

Structure (POSCAR):
```
Th2MgTl2
1.0
4.696 0.000 0.000
0.000 7.876 0.000
0.000 0.000 7.876
Th Mg Tl
4 2 4
direct
0.000 0.672 0.828
0.000 0.328 0.172
0.000 0.828 0.328
0.000 0.172 0.672
0.500 0.500 0.500
0.500 0.000 0.000
0.500 0.366 0.866
0.500 0.634 0.134
0.500 0.134 0.366
0.500 0.866 0.634
```

=====

Here is a geometry-optimized Th2MgTl3 structure from the Alexandria database. Energies are from PBE.

Output
Relative energy among the computed polymorphs in meV per atom: 0
DFT total energy in eV/atom: -4.040
Space group: Cmmm (65)
Crystal system: orthorhombic
Total moment in μB/cell: 0.000
D(E_F) in states/eV/cell: 4.15

Structure (POSCAR):
```
Th2MgTl3
1.0
-3.102 2.520 2.359
-1.404 -3.975 2.402
5.843 3.367 4.086
Th Mg Tl
2 1 3
direct
0.000 0.658 0.316
0.000 0.342 0.684
0.000 0.000 0.000
0.500 0.167 0.335
0.500 0.500 0.000
0.500 0.833 0.665
```

=====

Here is a geometry-optimized ThMg6Tl2 structure from the Alexandria database. Energies are from PBE.

Output
DFT total energy in eV/atom: -2.431
Space group: P4/mmm (123)
Crystal system: tetragonal
Total moment in μB/cell: 0.000
D(E_F) in states/eV/cell: 3.03

Structure (POSCAR):
```
ThMg6Tl2
1.0
-2.262 2.974 -2.521
-2.752 0.846 3.468
6.701 7.959 3.376
Th Mg Tl
1 6 2
direct
0.000 0.000 0.000
0.000 0.500 0.294
0.500 0.000 0.294
0.000 0.500 0.706
0.500 0.000 0.706
0.500 0.500 0.500
0.000 0.000 0.500
0.500 0.500 0.131
0.500 0.500 0.869
```

=====

Here is a geometry-optimized ThMg2Tl3 structure from the Alexandria database. Energies are from PBE.

Output
Relative energy among the computed polymorphs in meV per atom: 21
DFT total energy in eV/atom: -3.014
Space group: P4/mmm (123)
Crystal system: tetragonal
Total moment in μB/cell: 0.000
D(E_F) in states/eV/cell: 3.60

Structure (POSCAR):
```
ThMg2Tl3
1.0
3.635 0.000 0.000
0.000 3.635 0.000
0.000 0.000 11.805
Th Mg Tl
1 2 3
direct
0.500 0.500 0.500
0.500 0.500 0.844
0.500 0.500 0.156
0.000 0.000 0.000
0.000 0.000 0.691
0.000 0.000 0.309
```

=====

Here is a geometry-optimized Th6MgTl structure from the Alexandria database. Energies are from PBE.

Output
DFT total energy in eV/atom: -6.029
Space group: I4/mmm (139)
Crystal system: tetragonal
Total moment in μB/cell: 0.001
D(E_F) in states/eV/cell: 13.54

Structure (POSCAR):
```
Th6MgTl
1.0
4.755 0.000 1.432
-0.431 4.735 1.432
-0.588 -0.645 10.566
Th Mg Tl
6 1 1
direct
0.751 0.750 0.499
0.620 0.120 0.760
0.120 0.620 0.760
0.380 0.880 0.240
0.249 0.250 0.501
0.880 0.380 0.240
0.000 0.000 0.000
0.500 0.500 0.000
```

=====

Here is a geometry-optimized ThMg4Tl structure from the Alexandria database. Energies are from PBE.

Output
DFT total energy in eV/atom: -2.590
Space group: F-43m (216)
Crystal system: cubic
Total moment in μB/cell: 0.000
D(E_F) in states/eV/cell: 4.30

Structure (POSCAR):
```
ThMg4Tl
1.0
6.021 0.000 0.000
3.011 5.214 0.000
3.011 1.738 4.916
Tl Mg Th
1 4 1
direct
0.000 0.000 0.000
0.625 0.625 0.126
0.625 0.126 0.625
0.625 0.625 0.625
0.126 0.625 0.625
0.250 0.250 0.250
```

=====

Here is a geometry-optimized Th2MgTl structure from the Alexandria database. Energies are from PBE.

Output
DFT total energy in eV/atom: -4.692
Space group: P4/mmm (123)
Crystal system: tetragonal
Total moment in μB/cell: 0.000
D(E_F) in states/eV/cell: 3.34

Structure (POSCAR):
```
Th2MgTl
1.0
-3.907 0.721 1.364
0.576 -2.765 3.110
2.255 4.849 3.894
Tl Mg Th
1 1 2
direct
0.500 0.500 0.500
0.500 0.500 0.000
0.000 0.000 0.744
0.000 0.000 0.256
```